# CsK2SeI, optimized geometry, DFT PBE
# - raw total energy (eV for the cell shown) = -13.9
# - spin magnetization (μB per cell) = 0.00
# - formation energy from raw total energies (eV per atom) = -1.1590
data_CsK2SeI
_space_group_name_H-M_alt 'P 4/m m m'
_space_group_IT_number 123
_space_group_name_Hall '-P 4 2'
_cell_length_a 6.215
_cell_length_b 6.215
_cell_length_c 6.991
_cell_angle_alpha 90.00
_cell_angle_beta 90.00
_cell_angle_gamma 90.00
loop_
_atom_site_label
_atom_site_fract_x
_atom_site_fract_y
_atom_site_fract_z
_atom_site_occupancy
Cs1 0.000 0.000 0.000 1
K1 0.000 0.500 0.500 1
Se1 0.000 0.000 0.500 1
I1 0.500 0.500 0.000 1



# NaGeI2N, optimized geometry, DFT PBE
# - raw total energy (eV for the cell shown) = -17.0
# - energy above the lowest structure with this stoichiometry (eV/atom) = 0.000
# - spin magnetization (μB per cell) = 0.00
# - N(E_F) (states/eV per cell) = 2.90
# - formation energy from raw total energies (eV per atom) = 0.0675
data_NaGeI2N
_space_group_name_H-M_alt 'P 4/m m m'
_space_group_IT_number 123
_space_group_name_Hall '-P 4 2'
_cell_length_a 6.108
_cell_length_b 6.108
_cell_length_c 3.592
_cell_angle_alpha 90.00
_cell_angle_beta 90.00
_cell_angle_gamma 90.00
loop_
_atom_site_label
_atom_site_fract_x
_atom_site_fract_y
_atom_site_fract_z
_atom_site_occupancy
Na1 0.000 0.000 0.000 1
Ge1 0.500 0.500 0.500 1
I1 0.000 0.500 0.500 1
N1 0.500 0.500 0.000 1



# InOs2O8, optimized geometry, DFT PBE
# - raw total energy (eV for the cell shown) = -74.7
# - spin magnetization (μB per cell) = 3.04
# - N(E_F) (states/eV per cell) = 5.41
# - formation energy from raw total energies (eV per atom) = -0.8934
data_InOs2O8
_space_group_name_H-M_alt 'P -3 m 1'
_space_group_IT_number 164
_space_group_name_Hall '-P 3 2"'
_cell_length_a 5.9213
_cell_length_b 5.9213
_cell_length_c 6.5177
_cell_angle_alpha 90.00
_cell_angle_beta 90.00
_cell_angle_gamma 120.00
loop_
_atom_site_label
_atom_site_fract_x
_atom_site_fract_y
_atom_site_fract_z
_atom_site_occupancy
In1 0.0000 0.0000 0.0000 1
Os1 0.3333 0.6667 0.2923 1
O1 0.1693 0.3386 0.1965 1
O2 0.3333 0.6667 0.5588 1



# Ba3Pa5S12, optimized geometry, DFT PBE
# - raw total energy (eV for the cell shown) = -1072.7
# - spin magnetization (μB per cell) = 56.32
# - N(E_F) (states/eV per cell) = 205.44
# - formation energy from raw total energies (eV per atom) = -1.5653
data_Ba3Pa5S12
_space_group_name_H-M_alt 'I a -3 d'
_space_group_IT_number 230
_space_group_name_Hall '-I 4bd 2c 3'
_cell_length_a 17.085
_cell_length_b 17.085
_cell_length_c 17.085
_cell_angle_alpha 90.00
_cell_angle_beta 90.00
_cell_angle_gamma 90.00
loop_
_atom_site_label
_atom_site_fract_x
_atom_site_fract_y
_atom_site_fract_z
_atom_site_occupancy
Ba1 0.000 0.250 0.125 1
Pa1 0.000 0.000 0.000 1
Pa2 0.000 0.250 0.375 1
S1 0.028 0.058 0.647 1



# DyTmNiAu, optimized geometry, DFT PBE
# - raw total energy (eV for the cell shown) = -82.3
# - formation energy from the elements (eV/atom) = -0.612
# - energy above the lowest structure with this stoichiometry (eV/atom) = 0.049
# - spin magnetization (μB per cell) = 0.00
# - N(E_F) (states/eV per cell) = 12.71
data_DyTmNiAu
_space_group_name_H-M_alt 'F -4 3 m'
_space_group_IT_number 216
_space_group_name_Hall 'F -4 2 3'
_cell_length_a 6.959
_cell_length_b 6.959
_cell_length_c 6.959
_cell_angle_alpha 90.00
_cell_angle_beta 90.00
_cell_angle_gamma 90.00
loop_
_atom_site_label
_atom_site_fract_x
_atom_site_fract_y
_atom_site_fract_z
_atom_site_occupancy
Dy1 0.000 0.000 0.000 1
Tm1 0.000 0.000 0.500 1
Ni1 0.250 0.250 0.250 1
Au1 0.250 0.250 0.750 1



# Sm7DyCd2, optimized geometry, DFT PBE
# - raw total energy (eV for the cell shown) = -71.1
# - formation energy from the elements (eV/atom) = 0.391
# - spin magnetization (μB per cell) = 0.01
# - N(E_F) (states/eV per cell) = 38.21
data_Sm7DyCd2
_space_group_name_H-M_alt 'C m m m'
_space_group_IT_number 65
_space_group_name_Hall '-C 2 2'
_cell_length_a 9.010
_cell_length_b 16.109
_cell_length_c 5.304
_cell_angle_alpha 90.00
_cell_angle_beta 90.00
_cell_angle_gamma 90.00
loop_
_atom_site_label
_atom_site_fract_x
_atom_site_fract_y
_atom_site_fract_z
_atom_site_occupancy
Sm1 0.000 0.000 0.000 1
Sm2 0.000 0.279 0.500 1
Sm3 0.183 0.384 0.000 1
Dy1 0.000 0.500 0.500 1
Cd1 0.000 0.197 0.000 1



# Ac3Cd2Si2Pt4, optimized geometry, DFT PBE
# - raw total energy (eV for the cell shown) = -58.4
# - spin magnetization (μB per cell) = 0.00
# - N(E_F) (states/eV per cell) = 6.31
# - formation energy from raw total energies (eV per atom) = -0.8408
data_Ac3Cd2Si2Pt4
_space_group_name_H-M_alt 'P -3 m 1'
_space_group_IT_number 164
_space_group_name_Hall '-P 3 2"'
_cell_length_a 4.3406
_cell_length_b 4.3406
_cell_length_c 16.6521
_cell_angle_alpha 90.00
_cell_angle_beta 90.00
_cell_angle_gamma 120.00
loop_
_atom_site_label
_atom_site_fract_x
_atom_site_fract_y
_atom_site_fract_z
_atom_site_occupancy
Ac1 0.0000 0.0000 0.0000 1
Ac2 0.0000 0.0000 0.2700 1
Cd1 0.3333 0.6667 0.5530 1
Si1 0.3333 0.6667 0.1310 1
Pt1 0.3333 0.6667 0.3770 1
Pt2 0.3333 0.6667 0.8618 1



# RbPrNd2, optimized geometry, DFT PBE
# - raw total energy (eV for the cell shown) = -42.9
# - formation energy from the elements (eV/atom) = 0.245
# - spin magnetization (μB per cell) = 0.00
# - N(E_F) (states/eV per cell) = 15.14
data_RbPrNd2
_space_group_name_H-M_alt 'R -3 m'
_space_group_IT_number 166
_space_group_name_Hall '-R 3 2"'
_cell_length_a 3.7410
_cell_length_b 3.7410
_cell_length_c 41.0841
_cell_angle_alpha 90.00
_cell_angle_beta 90.00
_cell_angle_gamma 120.00
loop_
_atom_site_label
_atom_site_fract_x
_atom_site_fract_y
_atom_site_fract_z
_atom_site_occupancy
Rb1 0.0000 0.0000 0.0000 1
Pr1 0.0000 0.0000 0.5000 1
Nd1 0.0000 0.0000 0.0950 1



# CdTc2Mo, optimized geometry, DFT PBE
# - raw total energy (eV for the cell shown) = -121.0
# - formation energy from the elements (eV/atom) = 0.558
# - spin magnetization (μB per cell) = 0.00
# - N(E_F) (states/eV per cell) = 16.25
data_CdTc2Mo
_space_group_name_H-M_alt 'F -4 3 m'
_space_group_IT_number 216
_space_group_name_Hall 'F -4 2 3'
_cell_length_a 6.364
_cell_length_b 6.364
_cell_length_c 6.364
_cell_angle_alpha 90.00
_cell_angle_beta 90.00
_cell_angle_gamma 90.00
loop_
_atom_site_label
_atom_site_fract_x
_atom_site_fract_y
_atom_site_fract_z
_atom_site_occupancy
Cd1 0.000 0.000 0.000 1
Tc1 0.000 0.000 0.500 1
Tc2 0.250 0.250 0.750 1
Mo1 0.250 0.250 0.250 1



# OsRhAu2, optimized geometry, DFT PBE
# - raw total energy (eV for the cell shown) = -46.4
# - formation energy from the elements (eV/atom) = 0.487
# - energy above the lowest structure with this stoichiometry (eV/atom) = 0.272
# - spin magnetization (μB per cell) = 0.63
# - N(E_F) (states/eV per cell) = 9.75
data_OsRhAu2
_space_group_name_H-M_alt 'I m m 2'
_space_group_IT_number 44
_space_group_name_Hall 'I 2 -2'
_cell_length_a 2.796
_cell_length_b 4.809
_cell_length_c 9.790
_cell_angle_alpha 90.00
_cell_angle_beta 90.00
_cell_angle_gamma 90.00
loop_
_atom_site_label
_atom_site_fract_x
_atom_site_fract_y
_atom_site_fract_z
_atom_site_occupancy
Os1 0.000 0.000 0.000 1
Rh1 0.000 0.500 0.283 1
Au1 0.000 0.000 0.525 1
Au2 0.000 0.500 0.755 1



# Pm6Pr3Y2Sc, optimized geometry, DFT PBE
# - raw total energy (eV for the cell shown) = -123.5
# - formation energy from the elements (eV/atom) = 0.029
# - spin magnetization (μB per cell) = 0.00
# - N(E_F) (states/eV per cell) = 34.42
data_Pm6Pr3Y2Sc
_space_group_name_H-M_alt 'C 1 2/m 1'
_space_group_IT_number 12
_space_group_name_Hall '-C 2y'
_cell_length_a 6.287
_cell_length_b 10.893
_cell_length_c 11.968
_cell_angle_alpha 90.00
_cell_angle_beta 100.08
_cell_angle_gamma 90.00
loop_
_atom_site_label
_atom_site_fract_x
_atom_site_fract_y
_atom_site_fract_z
_atom_site_occupancy
Pm1 0.245 0.165 0.243 1
Pm2 0.249 0.000 0.757 1
Pr1 0.000 0.167 0.500 1
Pr2 0.000 0.500 0.500 1
Y1 0.000 0.333 0.000 1
Sc1 0.000 0.000 0.000 1



# CaLa6Hg2, optimized geometry, DFT PBE
# - raw total energy (eV for the cell shown) = -68.5
# - formation energy from the elements (eV/atom) = -0.229
# - spin magnetization (μB per cell) = 0.00
# - N(E_F) (states/eV per cell) = 21.45
data_CaLa6Hg2
_space_group_name_H-M_alt 'C 1 2/m 1'
_space_group_IT_number 12
_space_group_name_Hall '-C 2y'
_cell_length_a 13.448
_cell_length_b 3.850
_cell_length_c 12.426
_cell_angle_alpha 90.00
_cell_angle_beta 108.99
_cell_angle_gamma 90.00
loop_
_atom_site_label
_atom_site_fract_x
_atom_site_fract_y
_atom_site_fract_z
_atom_site_occupancy
Ca1 0.000 0.000 0.000 1
La1 0.018 0.000 0.339 1
La2 0.192 0.500 0.873 1
La3 0.194 0.500 0.592 1
Hg1 0.135 0.500 0.198 1